# BaPIrS2 | Alexandria via LeMat-Bulk | SCAN | single point on PBEsol structure
# Raw formation energy ... 1959.0 meV per atom
# Final energy ... -26.10 eV per atom
# Distance to the lowest polymorph of the same formula ... 2.618 eV per atom
# Calculated density ... 4.37 g cm⁻³
data_BaPIrS2
_cell_length_a 5.3891
_cell_length_b 5.3891
_cell_length_c 5.5621
_cell_angle_alpha 90.00
_cell_angle_beta 90.00
_cell_angle_gamma 90.00
_space_group_name_H-M_alt 'P 1'
_space_group_IT_number 1
_space_group_name_Hall 'P 1'
loop_
_atom_site_label
_atom_site_type_symbol
_atom_site_fract_x
_atom_site_fract_y
_atom_site_fract_z
_atom_site_occupancy
S1 S 0.0000 0.5000 0.0000 1
Ir1 Ir 0.5000 0.5000 0.5000 1
S2 S 0.5000 0.0000 0.0000 1
P1 P 0.0000 0.0000 0.5000 1
Ba1 Ba 0.0000 0.0000 0.0000 1